Cs3InAg | Alexandria | PBE | optimized geometry; crystal system = cubic; offset from the most stable computed form = 0 meV/atom
1.0
-3.407 6.133 0.243
-2.411 -1.592 6.398
5.645 3.022 2.879
Ag Cs In
1 3 1
Cartesian
0.000 0.000 0.000
-1.205 -0.796 3.199
-1.704 3.067 0.121
2.822 1.511 1.440
-0.087 3.782 4.760



RbMgBeSe2 | Alexandria | PBE | optimized geometry; raw formation energy = -319.3 kJ/mol of formula units; crystal system = monoclinic
1.0
5.435 0.000 0.000
0.000 7.789 0.222
0.000 -2.019 6.243
Se Be Rb Mg
4 2 2 2
Cartesian
4.049 4.396 5.609
1.386 5.406 2.488
1.386 1.373 0.856
4.049 0.364 3.977
0.000 -1.010 3.121
0.000 0.000 0.000
1.319 2.380 4.793
4.117 3.390 1.672
3.105 -0.505 1.561
2.331 -1.515 4.682



LiPmPbF6 | Alexandria | PBE | optimized geometry; raw formation energy = -2782.2 kJ/mol of formula units; crystal system = trigonal
1.0
5.718 0.000 0.000
-2.859 4.952 0.000
0.000 0.000 10.604
F Pm Pb Li
12 2 2 2
Cartesian
3.701 0.104 9.126
3.777 3.153 9.126
4.619 1.694 6.780
-0.842 4.848 1.478
-0.918 1.798 1.478
1.098 1.694 9.126
-1.761 3.257 3.824
1.761 3.257 1.478
2.016 0.104 6.780
0.842 4.848 3.824
1.941 3.153 6.780
0.918 1.798 3.824
0.000 3.301 7.953
2.859 1.651 2.651
0.000 0.000 5.302
0.000 0.000 0.000
2.859 1.651 7.953
0.000 3.301 2.651



KCuNi2 | Alexandria | PBE | optimized geometry; crystal system = cubic; offset from the most stable computed form = 675 meV/atom
1.0
-4.213 -1.124 -0.945
-3.221 3.084 0.156
-1.899 1.436 -3.774
K Ni Cu
1 2 1
Cartesian
0.000 0.000 0.000
-7.000 2.546 -3.422
-2.333 0.849 -1.141
-4.667 1.698 -2.281



Ce2PrCuSe5 | Alexandria | PBE | optimized geometry; raw formation energy = -1350.2 kJ/mol of formula units; crystal system = orthorhombic
1.0
4.073 0.000 0.000
-2.037 8.830 0.000
0.000 0.000 12.514
Ce Se Cu Pr
4 10 2 2
Cartesian
2.037 6.793 2.417
0.000 2.038 8.674
2.037 6.867 10.629
0.000 1.963 4.372
2.037 3.492 2.488
0.000 8.714 9.344
2.037 8.627 6.433
0.000 5.338 8.745
0.000 0.203 0.176
2.037 3.227 10.683
0.000 6.107 0.252
0.000 5.604 4.426
2.037 0.116 3.086
2.037 2.723 6.509
2.037 0.898 11.521
0.000 7.933 5.264
0.000 3.126 0.345
2.037 5.705 6.603



ZnCo2Ir | Alexandria | PBE | optimized geometry; crystal system = orthorhombic; electronic total energy = -6.053 eV/atom
1.0
-1.669 -1.941 -0.801
0.227 -1.515 3.199
-4.157 2.888 1.663
Ir Co Zn
1 2 1
Cartesian
-2.042 1.418 0.817
-0.044 0.030 0.017
-1.708 -1.042 1.594
-3.884 0.470 2.465



CaLuBiAu | Alexandria | PBE | optimized geometry; crystal system = cubic; electronic total energy = -4.066 eV/atom
1.0
-4.665 -0.773 2.355
-0.461 -3.614 3.824
-0.717 1.528 5.005
Lu Ca Au Bi
1 1 1 1
Cartesian
-4.383 -2.145 8.388
-1.461 -0.715 2.796
0.000 0.000 0.000
-2.922 -1.430 5.592



Sc2SiPb | Alexandria | PBE | optimized geometry; raw formation energy = -85.9 kJ/mol of formula units; crystal system = tetragonal; offset from the most stable computed form = 221 meV/atom
1.0
-1.736 6.239 4.033
-4.578 2.363 -5.626
-5.602 2.755 0.543
Pb Sc Si
2 4 2
Cartesian
0.000 0.000 0.000
-5.247 6.648 1.889
-3.004 4.690 1.828
-4.533 3.139 -2.751
-9.584 9.520 -0.812
-6.711 5.365 -0.365
-3.157 4.301 -0.797
-6.669 4.709 -2.940



BaIrRh4 | Alexandria | PBE | optimized geometry; crystal system = cubic; electronic total energy = -6.213 eV/atom
1.0
0.000 3.778 3.778
3.778 0.000 3.778
3.778 3.778 0.000
Rh Ba Ir
4 1 1
Cartesian
2.824 2.824 2.824
2.824 4.731 4.731
4.731 2.824 4.731
4.731 4.731 2.824
5.667 5.667 5.667
0.000 0.000 0.000



Pa4C3F | Alexandria | PBE | optimized geometry; raw formation energy = -710.4 kJ/mol of formula units; crystal system = orthorhombic
1.0
-1.755 2.183 -2.251
-4.002 -4.552 -1.294
-4.751 0.275 3.969
C Pa F
3 4 1
Cartesian
-6.132 0.044 -0.913
-1.755 2.182 -2.251
-3.253 1.228 0.859
-5.099 -2.270 -1.094
-5.409 0.175 1.518
-8.311 -1.080 -0.305
-3.952 1.167 -1.523
-7.630 -0.911 2.196



Pm2ZnSn | Alexandria | PBE | optimized geometry; crystal system = tetragonal; offset from the most stable computed form = 7 meV/atom
1.0
-2.692 1.138 2.836
-3.122 -3.782 -1.446
2.230 -3.130 3.373
Pm Sn Zn
2 1 1
Cartesian
1.115 -1.565 1.686
-1.561 -1.891 -0.723
-1.346 0.569 1.418
-1.792 -2.887 2.381



UAl11Ni | Alexandria | PBE | optimized geometry; crystal system = monoclinic; electronic total energy = -4.607 eV/atom
1.0
-2.523 -4.046 -2.038
4.573 -5.127 -1.495
-2.064 -4.409 4.712
Al U Ni
11 1 1
Cartesian
-0.704 -5.955 -0.211
0.690 -7.627 1.391
-2.212 -8.712 0.533
2.287 -2.564 -0.747
0.138 -10.334 1.113
2.198 -4.871 0.647
1.864 -6.930 -1.185
-1.878 -6.652 2.364
-0.152 -3.248 0.066
-1.032 -2.205 2.356
-2.293 -4.227 1.337
0.000 0.000 0.000
1.025 -4.587 -1.766



Fermi-level density of states, respectively: 4.85, 2.18, 0.00, 0.93, 12.37, 5.12, 3.02, 1.79, 12.98, 5.52, 2.68, 10.90 states/eV/f.u..